# Cs4BeHg2As2, optimized geometry, DFT PBE
data_Cs4BeHg2As2
_chemical_formula_sum 'Cs8 Be2 Hg4 As4'
_symmetry_space_group_name_H-M 'C 1 2/m 1'
_symmetry_Int_Tables_number 12
_cell_length_a 11.8599
_cell_length_b 9.6928
_cell_length_c 6.5018
_cell_angle_alpha 90.00
_cell_angle_beta 90.65
_cell_angle_gamma 90.00
loop_
_symmetry_equiv_pos_as_xyz
'x,y,z'
'-x,-y,-z'
'-x,y,-z'
'x,-y,z'
'x+1/2,y+1/2,z'
'-x+1/2,-y+1/2,-z'
'-x+1/2,y+1/2,-z'
'x+1/2,-y+1/2,z'
loop_
_atom_site_label
_atom_site_fract_x
_atom_site_fract_y
_atom_site_fract_z
_atom_site_occupancy
Cs1 0.1205 0.2491 0.2970 1
Be1 0.0000 0.0000 0.0000 1
Hg1 0.1508 0.5000 0.8559 1
As1 0.1508 0.0000 0.8358 1
# total energy = -19.753 eV per formula unit
# crystal system = monoclinic
# ρ = 4.9 g cm⁻³
# formation energy = -0.301 eV/atom
# total magnetization = 0.00 μB/f.u.

# MnIrOs2, optimized geometry, DFT PBE
data_MnIrOs2
_chemical_formula_sum 'Mn2 Ir2 Os4'
_symmetry_space_group_name_H-M 'C m m m'
_symmetry_Int_Tables_number 65
_symmetry_space_group_name_Hall '-C 2 2'
_cell_length_a 5.3673
_cell_length_b 7.6582
_cell_length_c 2.6939
_cell_angle_alpha 90.00
_cell_angle_beta 90.00
_cell_angle_gamma 90.00
loop_
_atom_site_label
_atom_site_fract_x
_atom_site_fract_y
_atom_site_fract_z
_atom_site_occupancy
Mn1 0.0000 0.0000 0.0000 1
Ir1 0.0000 0.5000 0.0000 1
Os1 0.2500 0.2500 0.5000 1
# total energy = -40.262 eV per formula unit
# E above lowest polymorph = 0.24 eV per formula unit
# crystal system = orthorhombic
# ρ = 18.8 g cm⁻³
# formation energy = 0.057 eV/atom
# total magnetization = 1.64 μB/f.u.

# Rb3Tl4Ag2, optimized geometry, DFT PBE
data_Rb3Tl4Ag2
_chemical_formula_sum 'Rb3 Tl4 Ag2'
_symmetry_space_group_name_H-M 'P -1'
_symmetry_Int_Tables_number 2
_cell_length_a 5.2532
_cell_length_b 7.3019
_cell_length_c 10.2033
_cell_angle_alpha 71.32
_cell_angle_beta 75.14
_cell_angle_gamma 68.94
loop_
_symmetry_equiv_pos_as_xyz
'x,y,z'
'-x,-y,-z'
loop_
_atom_site_label
_atom_site_fract_x
_atom_site_fract_y
_atom_site_fract_z
_atom_site_occupancy
Rb1 0.0000 0.0000 0.0000 1
Rb2 0.3948 0.8452 0.3665 1
Tl1 0.1085 0.4301 0.3563 1
Tl2 0.2969 0.3466 0.0581 1
Ag1 0.3010 0.6300 0.7665 1
# total energy = -18.188 eV per formula unit
# crystal system = triclinic
# ρ = 6.3 g cm⁻³
# formation energy = -0.013 eV/atom
# total magnetization = 0.00 μB/f.u.

# SrTl3Hg12, optimized geometry, DFT PBE
data_SrTl3Hg12
_chemical_formula_sum 'Sr1 Tl3 Hg12'
_symmetry_space_group_name_H-M 'P 4/m m m'
_symmetry_Int_Tables_number 123
_symmetry_space_group_name_Hall '-P 4 2'
_cell_length_a 4.9458
_cell_length_b 4.9458
_cell_length_c 18.4618
_cell_angle_alpha 90.00
_cell_angle_beta 90.00
_cell_angle_gamma 90.00
loop_
_atom_site_label
_atom_site_fract_x
_atom_site_fract_y
_atom_site_fract_z
_atom_site_occupancy
Sr1 0.0000 0.0000 0.0000 1
Tl1 0.0000 0.0000 0.2535 1
Tl2 0.0000 0.0000 0.5000 1
Hg1 0.0000 0.5000 0.1289 1
Hg2 0.0000 0.5000 0.3747 1
Hg3 0.5000 0.5000 0.0000 1
Hg4 0.5000 0.5000 0.2491 1
Hg5 0.5000 0.5000 0.5000 1
# total energy = -14.345 eV per formula unit
# crystal system = tetragonal
# ρ = 11.4 g cm⁻³
# formation energy = -0.121 eV/atom
# total magnetization = 0.00 μB/f.u.